This record from Alexandria via LeMat-Bulk describes an optimized crystal structure of PmGeSbPd. The functional is PBE-GGA.

Cell: 7.0971 7.0971 7.0971 Å, 90.00 90.00 90.00°
Last column: nearest neighbours and their distance in Å.
Space group F-43m (No. 216)
Inequivalent atoms, fractional coordinates:
Pm (0.0000, 0.0000, 0.0000) (multiplicity 4)  4 Ge 3.07, 4 Pd 3.07
Ge (0.2500, 0.2500, 0.2500) (multiplicity 4)  4 Sb 3.07, 4 Pm 3.07
Sb (0.0000, 0.0000, 0.5000) (multiplicity 4)  4 Pd 3.07, 4 Ge 3.07
Pd (0.2500, 0.2500, 0.7500) (multiplicity 4)  4 Sb 3.07, 4 Pm 3.07

Output
Its raw formation energy is -173.0 kJ/mol of formula units.